# 1
Entry from the Alexandria database: AlGeN2 after structural relaxation (GGA-PBE).

Results
SG   I-42d
ΔE to the lowest computed polymorph   0 meV/atom
E_form (uncorrected)   -0.286 eV per atom

Lattice parameters (Å, degrees): 4.5722 4.5722 5.6240 66.02 66.02 90.00
With the nearest neighbours (Å) after each atom.
Fractional coordinates of all 8 atoms:
Ge (0.0000, 0.0000, 0.0000)  4 N 2.04
Ge (0.7500, 0.2500, 0.5000)  4 N 2.04
Al (0.5000, 0.5000, 0.0000)  4 N 1.93
Al (0.2500, 0.7500, 0.5000)  4 N 1.93
N (0.6032, 0.1250, 0.2500)  2 Al 1.93, 2 Ge 2.04
N (0.1468, 0.6250, 0.2500)  2 Al 1.93, 2 Ge 2.04
N (0.3750, 0.3968, 0.7500)  2 Al 1.93, 2 Ge 2.04
N (0.8750, 0.8532, 0.7500)  2 Al 1.93, 2 Ge 2.04


# 2
Entry from the Alexandria database: AlGeN2 after structural relaxation (GGA-PBE).

Results
SG   R-3m
ΔE to the lowest computed polymorph   160 meV/atom
E_form (uncorrected)   -0.126 eV per atom

Lattice parameters (Å, degrees): 5.8553 5.8553 5.8553 30.31 30.31 30.31
With the nearest neighbours (Å) after each atom.
Fractional coordinates of all 4 atoms:
Ge (0.0000, 0.0000, 0.0000)  2 N 1.80
Al (0.5000, 0.5000, 0.5000)  6 N 2.03
N (0.8925, 0.8925, 0.8925)  1 Ge 1.80
N (0.1075, 0.1075, 0.1075)  1 Ge 1.80


# 3
Entry from the Alexandria database: AlGe2N after structural relaxation (GGA-PBE).

Results
SG   Fm-3m
ΔE to the lowest computed polymorph   779 meV/atom
E_form (uncorrected)   1.081 eV per atom

Lattice parameters (Å, degrees): 4.4289 4.4289 4.4289 60.00 60.00 60.00
With the nearest neighbours (Å) after each atom.
Fractional coordinates of all 4 atoms:
Ge (0.2500, 0.2500, 0.2500)  4 Al 2.71, 4 N 2.71
Ge (0.7500, 0.7500, 0.7500)  4 Al 2.71, 4 N 2.71
Al (0.5000, 0.5000, 0.5000)  8 Ge 2.71
N (0.0000, 0.0000, 0.0000)  8 Ge 2.71


# 4
Entry from the Alexandria database: AlGe3N after structural relaxation (GGA-PBE).

Results
SG   Pm-3m
ΔE to the lowest computed polymorph   0 meV/atom
E_form (uncorrected)   0.634 eV per atom

Lattice parameters (Å, degrees): 4.3761 4.3761 4.3761 90.00 90.00 90.00
With the nearest neighbours (Å) after each atom.
Fractional coordinates of all 5 atoms:
Ge (0.0000, 0.5000, 0.0000)  2 N 2.19
Ge (0.0000, 0.0000, 0.5000)  2 N 2.19
Ge (0.5000, 0.0000, 0.0000)  2 N 2.19
Al (0.5000, 0.5000, 0.5000)  12 Ge 3.09
N (0.0000, 0.0000, 0.0000)  6 Ge 2.19


# 5
Entry from the Alexandria database: AlGeN2 after structural relaxation (GGA-PBE).

Results
SG   Fm-3m
ΔE to the lowest computed polymorph   1229 meV/atom
E_form (uncorrected)   0.942 eV per atom

Lattice parameters (Å, degrees): 3.8452 3.8452 3.8452 60.00 60.00 60.00
With the nearest neighbours (Å) after each atom.
Fractional coordinates of all 4 atoms:
Ge (0.5000, 0.5000, 0.5000)  8 N 2.35
Al (0.0000, 0.0000, 0.0000)  8 N 2.35
N (0.2500, 0.2500, 0.2500)  4 Ge 2.35, 4 Al 2.35
N (0.7500, 0.7500, 0.7500)  4 Ge 2.35, 4 Al 2.35


# 6
Entry from the Alexandria database: Al3GeN after structural relaxation (GGA-PBE).

Results
SG   Pm-3m
ΔE to the lowest computed polymorph   1481 meV/atom
E_form (uncorrected)   1.546 eV per atom

Lattice parameters (Å, degrees): 4.7791 4.7791 4.7791 90.00 90.00 90.00
With the nearest neighbours (Å) after each atom.
Fractional coordinates of all 5 atoms:
Ge (0.0000, 0.0000, 0.0000)  6 Al 2.39
Al (0.0000, 0.5000, 0.0000)  2 Ge 2.39
Al (0.0000, 0.0000, 0.5000)  2 Ge 2.39
Al (0.5000, 0.0000, 0.0000)  2 Ge 2.39
N (0.5000, 0.5000, 0.5000)  12 Al 3.38


# 7
Entry from the Alexandria database: NbAlGeN2 after structural relaxation (GGA-PBE).

Results
SG   P4/mmm
E_form (uncorrected)   0.770 eV per atom

Lattice parameters (Å, degrees): 3.7185 5.0463 3.7185 90.00 90.00 90.00
With the nearest neighbours (Å) after each atom.
Fractional coordinates of all 5 atoms:
Nb (0.5000, 0.5000, 0.5000)  4 Ge 2.63
N (0.0000, 0.0000, 0.5000)  2 Al 1.86
N (0.5000, 0.0000, 0.0000)  2 Al 1.86
Ge (0.0000, 0.5000, 0.0000)  2 Al 2.52, 4 Nb 2.63
Al (0.0000, 0.0000, 0.0000)  4 N 1.86


# 8
Entry from the Alexandria database: Al2GeOsN after structural relaxation (GGA-PBE).

Results
SG   P4/mmm
E_form (uncorrected)   0.921 eV per atom

Lattice parameters (Å, degrees): 4.8038 4.6828 4.8038 90.00 90.00 90.00
With the nearest neighbours (Å) after each atom.
Fractional coordinates of all 5 atoms:
Ge (0.0000, 0.5000, 0.0000)  2 Os 2.34
Os (0.0000, 0.0000, 0.0000)  2 Ge 2.34, 4 Al 2.40
Al (0.0000, 0.0000, 0.5000)  2 Os 2.40
Al (0.5000, 0.0000, 0.0000)  2 Os 2.40
N (0.5000, 0.5000, 0.5000)  8 Al 3.35, 4 Ge 3.40